Entry 1:
{"formula": "FeAg2Os", "functional": "PBE", "state": "optimized geometry", "lattice": [[9.449, 0.009, 0.005], [9.043, 2.741, 0.005], [9.043, 1.345, 2.388]], "species": ["Ag", "Ag", "Fe", "Os"], "fractional_positions": [[0.002, 0.002, 0.002], [0.245, 0.245, 0.245], [0.495, 0.495, 0.495], [0.758, 0.758, 0.758]], "crystal_system": "trigonal", "formation_enthalpy_0k_mev_per_atom": 314, "magmom_total_mub_per_fu": 2.47}

Entry 2:
{"formula": "Sr5Nd12Mg3", "functional": "PBE", "state": "optimized geometry", "lattice": [[-6.980, 7.374, -14.064], [9.162, -13.950, -4.729], [-12.627, -4.793, 10.885]], "species": ["Mg", "Mg", "Mg", "Mg", "Mg", "Mg", "Mg", "Mg", "Mg", "Mg", "Mg", "Mg", "Sr", "Sr", "Sr", "Sr", "Sr", "Sr", "Sr", "Sr", "Sr", "Sr", "Sr", "Sr", "Sr", "Sr", "Sr", "Sr", "Sr", "Sr", "Sr", "Sr", "Nd", "Nd", "Nd", "Nd", "Nd", "Nd", "Nd", "Nd", "Nd", "Nd", "Nd", "Nd", "Nd", "Nd", "Nd", "Nd", "Nd", "Nd", "Nd", "Nd", "Nd", "Nd", "Nd", "Nd", "Nd", "Nd", "Nd", "Nd", "Nd", "Nd", "Nd", "Nd", "Nd", "Nd", "Nd", "Nd", "Nd", "Nd", "Nd", "Nd", "Nd", "Nd", "Nd", "Nd", "Nd", "Nd", "Nd", "Nd"], "fractional_positions": [[0.750, 0.375, 0.125], [0.875, 0.750, 0.125], [0.375, 0.750, 0.625], [0.250, 0.125, 0.375], [0.875, 0.125, 0.250], [0.375, 0.625, 0.250], [0.625, 0.375, 0.750], [0.125, 0.875, 0.750], [0.750, 0.875, 0.625], [0.625, 0.250, 0.375], [0.125, 0.250, 0.875], [0.250, 0.625, 0.875], [0.125, 0.375, 0.250], [0.000, 0.500, 0.000], [0.000, 0.000, 0.000], [0.375, 0.250, 0.125], [0.500, 0.000, 0.500], [0.500, 0.500, 0.000], [0.125, 0.750, 0.375], [0.750, 0.125, 0.875], [0.750, 0.625, 0.375], [0.375, 0.125, 0.750], [0.625, 0.875, 0.250], [0.500, 0.500, 0.500], [0.500, 0.000, 0.000], [0.000, 0.000, 0.500], [0.250, 0.375, 0.625], [0.250, 0.875, 0.125], [0.000, 0.500, 0.500], [0.875, 0.250, 0.625], [0.625, 0.750, 0.875], [0.875, 0.625, 0.750], [0.735, 0.158, 0.093], [0.358, 0.593, 0.435], [0.907, 0.342, 0.265], [0.593, 0.235, 0.158], [0.577, 0.735, 0.642], [0.907, 0.565, 0.142], [0.358, 0.765, 0.423], [0.065, 0.923, 0.158], [0.565, 0.907, 0.642], [0.735, 0.577, 0.142], [0.765, 0.407, 0.342], [0.858, 0.935, 0.093], [0.158, 0.735, 0.593], [0.342, 0.435, 0.077], [0.077, 0.935, 0.342], [0.423, 0.158, 0.565], [0.077, 0.142, 0.235], [0.407, 0.642, 0.065], [0.858, 0.923, 0.265], [0.158, 0.423, 0.065], [0.342, 0.907, 0.765], [0.565, 0.658, 0.423], [0.935, 0.858, 0.593], [0.765, 0.358, 0.923], [0.435, 0.342, 0.577], [0.065, 0.142, 0.407], [0.235, 0.642, 0.077], [0.142, 0.077, 0.735], [0.658, 0.093, 0.235], [0.842, 0.577, 0.935], [0.593, 0.358, 0.935], [0.577, 0.842, 0.435], [0.923, 0.858, 0.765], [0.923, 0.065, 0.658], [0.842, 0.265, 0.407], [0.142, 0.065, 0.907], [0.658, 0.565, 0.923], [0.435, 0.093, 0.358], [0.265, 0.423, 0.858], [0.235, 0.593, 0.658], [0.935, 0.077, 0.842], [0.642, 0.235, 0.577], [0.407, 0.765, 0.842], [0.093, 0.435, 0.858], [0.423, 0.265, 0.358], [0.093, 0.658, 0.735], [0.642, 0.407, 0.565], [0.265, 0.842, 0.907]], "crystal_system": "cubic", "formation_enthalpy_0k_mev_per_atom": 780, "magmom_total_mub_per_fu": 3.81}